(i)
Material: Sm4DyTl3
Method: DFT, GGA-PBE
State: optimized geometry

Properties
- Mass density: 9.55 Mg/m³
- D(E_F): 7.257 states/eV/f.u.
- SG: C2/m, No. 12
- Total moment: 0.000 μB per atom
- Crystal system: monoclinic

Unit cell a=11.9559 b=11.9559 c=5.4739 alpha=102.82 beta=102.82 gamma=18.30
Fractional coordinates of all 8 atoms:
1 Sm 0.1242 0.1242 0.1302
2 Sm 0.2331 0.2331 0.7339
3 Sm 0.7669 0.7669 0.2661
4 Sm 0.8758 0.8758 0.8698
5 Dy 0.0000 0.0000 0.5000
6 Tl 0.3838 0.3838 0.3765
7 Tl 0.5000 0.5000 0.0000
8 Tl 0.6162 0.6162 0.6235


(ii)
Material: Sm4DyTl3
Method: DFT, GGA-PBE
State: optimized geometry

Properties
- Mass density: 9.49 Mg/m³
- D(E_F): 10.688 states/eV/f.u.
- SG: R-3m, No. 166
- Total moment: 0.204 μB per atom
- Crystal system: trigonal

Unit cell a=9.8612 b=9.8612 c=9.8612 alpha=32.13 beta=32.13 gamma=32.13
Fractional coordinates of all 8 atoms:
1 Sm 0.1124 0.1124 0.1124
2 Sm 0.3693 0.3693 0.3693
3 Sm 0.6307 0.6307 0.6307
4 Sm 0.8876 0.8876 0.8876
5 Dy 0.5000 0.5000 0.5000
6 Tl 0.0000 0.0000 0.0000
7 Tl 0.2338 0.2338 0.2338
8 Tl 0.7662 0.7662 0.7662


Verdict on stability: (i) comes out on top.


(i)
Material: Sm3Dy2Tl2
Method: DFT, GGA-PBE
State: optimized geometry

Properties
- Mass density: 9.33 Mg/m³
- D(E_F): 6.069 states/eV/f.u.
- SG: R-3m, No. 166
- Total moment: 0.000 μB per atom
- Crystal system: trigonal

Unit cell a=8.7116 b=8.7116 c=8.7116 alpha=36.63 beta=36.63 gamma=36.63
Fractional coordinates of all 7 atoms:
1 Sm 0.0000 0.0000 0.0000
2 Sm 0.1555 0.1555 0.1555
3 Sm 0.8445 0.8445 0.8445
4 Dy 0.4253 0.4253 0.4253
5 Dy 0.5747 0.5747 0.5747
6 Tl 0.2848 0.2848 0.2848
7 Tl 0.7152 0.7152 0.7152


(ii)
Material: Sm3Dy2Tl2
Method: DFT, GGA-PBE
State: optimized geometry

Properties
- Mass density: 9.33 Mg/m³
- D(E_F): 7.209 states/eV/f.u.
- SG: Cmmm, No. 65
- Total moment: 0.053 μB per atom
- Crystal system: orthorhombic

Unit cell a=12.2535 b=12.2535 c=3.5362 alpha=90.00 beta=90.00 gamma=156.59
Fractional coordinates of all 7 atoms:
1 Sm 0.0000 0.0000 0.0000
2 Sm 0.1442 0.8558 0.0000
3 Sm 0.8558 0.1442 0.0000
4 Dy 0.2866 0.7134 0.5000
5 Dy 0.7134 0.2866 0.5000
6 Tl 0.4271 0.5729 0.5000
7 Tl 0.5729 0.4271 0.5000


Verdict on stability: (i) comes out on top.


(i)
Material: SmDy4Tl
Method: DFT, GGA-PBE
State: optimized geometry

Properties
- Mass density: 9.03 Mg/m³
- D(E_F): 7.246 states/eV/f.u.
- SG: P4/mmm, No. 123
- Total moment: 0.000 μB per atom
- Crystal system: tetragonal

Unit cell a=3.5981 b=3.5981 c=14.2706 alpha=90.00 beta=90.00 gamma=90.00
Fractional coordinates of all 6 atoms:
1 Sm 0.0000 0.0000 0.0000
2 Dy 0.0000 0.0000 0.3514
3 Dy 0.0000 0.0000 0.6486
4 Dy 0.5000 0.5000 0.1775
5 Dy 0.5000 0.5000 0.8225
6 Tl 0.5000 0.5000 0.5000


(ii)
Material: SmDy4Tl
Method: DFT, GGA-PBE
State: optimized geometry

Properties
- Mass density: 8.89 Mg/m³
- D(E_F): 6.941 states/eV/f.u.
- SG: C2/c, No. 15
- Total moment: 0.000 μB per atom
- Crystal system: monoclinic

Unit cell a=8.2861 b=8.2861 c=6.4625 alpha=99.73 beta=99.73 gamma=116.69
Fractional coordinates of all 12 atoms:
1 Sm 0.0890 0.9110 0.7500
2 Sm 0.9110 0.0890 0.2500
3 Dy 0.0894 0.3414 0.8806
4 Dy 0.2137 0.5938 0.4587
5 Dy 0.3414 0.0894 0.3806
6 Dy 0.4062 0.7863 0.0413
7 Dy 0.5938 0.2137 0.9587
8 Dy 0.6586 0.9106 0.6194
9 Dy 0.7863 0.4062 0.5413
10 Dy 0.9106 0.6586 0.1194
11 Tl 0.5002 0.4998 0.2500
12 Tl 0.4998 0.5002 0.7500


Verdict on stability: (i) comes out on top.


(i)
Material: Sm6Dy3Tl
Method: DFT, GGA-PBE
State: optimized geometry

Properties
- Mass density: 8.07 Mg/m³
- D(E_F): 14.000 states/eV/f.u.
- SG: P2_1/m, No. 11
- Total moment: 0.000 μB per atom
- Crystal system: monoclinic

Unit cell a=12.3184 b=3.6040 c=14.8082 alpha=90.00 beta=93.82 gamma=90.00
Fractional coordinates of all 20 atoms:
1 Sm 0.0643 0.2500 0.3902
2 Sm 0.1196 0.7500 0.9534
3 Sm 0.1983 0.2500 0.7509
4 Sm 0.2955 0.7500 0.3112
5 Sm 0.3092 0.2500 0.1069
6 Sm 0.3868 0.2500 0.4965
7 Sm 0.6132 0.7500 0.5035
8 Sm 0.6908 0.7500 0.8931
9 Sm 0.7045 0.2500 0.6888
10 Sm 0.8017 0.7500 0.2491
11 Sm 0.8804 0.2500 0.0466
12 Sm 0.9357 0.7500 0.6098
13 Dy 0.0742 0.7500 0.1807
14 Dy 0.3997 0.7500 0.9176
15 Dy 0.4476 0.7500 0.6960
16 Dy 0.5524 0.2500 0.3040
17 Dy 0.6003 0.2500 0.0824
18 Dy 0.9258 0.2500 0.8193
19 Tl 0.1876 0.7500 0.5587
20 Tl 0.8124 0.2500 0.4413


(ii)
Material: Sm6Dy3Tl
Method: DFT, GGA-PBE
State: optimized geometry

Properties
- Mass density: 8.23 Mg/m³
- D(E_F): 11.995 states/eV/f.u.
- SG: Cmc2_1, No. 36
- Total moment: 0.000 μB per atom
- Crystal system: orthorhombic

Unit cell a=11.3739 b=11.3739 c=6.3923 alpha=90.00 beta=90.00 gamma=128.92
Fractional coordinates of all 20 atoms:
1 Sm 0.0183 0.9817 0.5000
2 Sm 0.0985 0.5323 0.9723
3 Sm 0.2620 0.3735 0.7558
4 Sm 0.2871 0.7129 0.5296
5 Sm 0.3735 0.2620 0.2558
6 Sm 0.4677 0.9015 0.9723
7 Sm 0.5323 0.0985 0.4723
8 Sm 0.6265 0.7380 0.7558
9 Sm 0.7129 0.2871 0.0296
10 Sm 0.7380 0.6265 0.2558
11 Sm 0.9015 0.4677 0.4723
12 Sm 0.9817 0.0183 0.0000
13 Dy 0.0426 0.2966 0.3297
14 Dy 0.2966 0.0426 0.8297
15 Dy 0.4127 0.5873 0.2290
16 Dy 0.5873 0.4127 0.7290
17 Dy 0.7034 0.9574 0.3297
18 Dy 0.9574 0.7034 0.8297
19 Tl 0.1541 0.8459 0.2599
20 Tl 0.8459 0.1541 0.7599


Verdict on stability: (i) comes out on top.